one.
Tb2NiSn | PBE | optimized geometry

The value obtained for the volume is 92.9 Å³/cell. Its density of states at the Fermi level is 2.10 states/eV per cell.

The structure belongs to space group P4/mmm (No. 123); the cell edges are 3.4825, 3.4825 and 7.6597 Å and the angles 90.00°, 90.00° and 90.00°. The asymmetric unit holds Tb at (0.0000, 0.0000, 0.2137), Ni at (0.5000, 0.5000, 0.0000) and Sn at (0.5000, 0.5000, 0.5000).

=====

two.
Tb2NiSn | PBE | optimized geometry

The value obtained for the volume is 205.0 Å³/cell. Its density of states at the Fermi level is 5.51 states/eV per cell.

The structure belongs to space group Immm (No. 71); the cell edges are 4.2895, 4.8134 and 9.9292 Å and the angles 90.00°, 90.00° and 90.00°. The asymmetric unit holds Tb at (0.0000, 0.0000, 0.1690), Ni at (0.0000, 0.5000, 0.5000) and Sn at (0.0000, 0.0000, 0.5000).

=====

In terms of stability, one leads; the second structure lies 0.205 eV/atom higher.

=====

one.
Tb2NiSn | PBE | optimized geometry

The value obtained for the volume is 350.7 Å³/cell. Its density of states at the Fermi level is 12.18 states/eV per cell.

The structure belongs to space group R-3m (No. 166, hexagonal axes); the cell edges are 3.7812, 3.7812 and 28.3256 Å and the angles 90.00°, 90.00° and 120.00°. The asymmetric unit holds Tb at (0.0000, 0.0000, 0.1114), Ni at (0.0000, 0.0000, 0.5000) and Sn at (0.0000, 0.0000, 0.0000).

=====

two.
Tb2NiSn | PBE | optimized geometry

The value obtained for the volume is 379.4 Å³/cell. Its density of states at the Fermi level is 8.82 states/eV per cell.

The structure belongs to space group Fm-3m (No. 225); the cell edges are 7.2393, 7.2393 and 7.2393 Å and the angles 90.00°, 90.00° and 90.00°. The asymmetric unit holds Tb at (0.2500, 0.2500, 0.2500), Ni at (0.0000, 0.0000, 0.0000) and Sn at (0.0000, 0.0000, 0.5000).

=====

In terms of stability, two leads; the second structure lies 0.350 eV/atom higher.

=====

one.
TbNi9Sn2 | PBE | optimized geometry

The value obtained for the volume is 329.3 Å³/cell. Its density of states at the Fermi level is 34.40 states/eV per cell.

The structure belongs to space group P4/mbm (No. 127); the cell edges are 8.2148, 8.2148 and 4.8797 Å and the angles 90.00°, 90.00° and 90.00°. The asymmetric unit holds Tb at (0.0000, 0.0000, 0.0000), Ni at (0.0000, 0.5000, 0.5000), Ni at (0.0656, 0.2054, 0.5000), Ni at (0.1738, 0.6738, 0.2458) and Sn at (0.1281, 0.3719, 0.0000).

=====

two.
TbNi9Sn2 | PBE | optimized geometry

The value obtained for the volume is 498.3 Å³/cell. Its density of states at the Fermi level is 39.96 states/eV per cell.

The structure belongs to space group R-3m (No. 166, hexagonal axes); the cell edges are 4.9353, 4.9353 and 23.6240 Å and the angles 90.00°, 90.00° and 120.00°. The asymmetric unit holds Tb at (0.0000, 0.0000, 0.0000), Ni at (0.0000, 0.0000, 0.3338), Ni at (0.0000, 0.0000, 0.5000), Ni at (0.0039, 0.5019, 0.9156) and Sn at (0.0000, 0.0000, 0.1379).

=====

In terms of stability, one leads; the second structure lies 0.025 eV/atom higher.